Density functional theory data (PBE) for an optimized crystal structure of BeRhCl2.

## Properties
Uncorrected formation energy in eV/f.u.: -0.610
Crystal system: orthorhombic

a b c (Å): 3.0553 3.4542 7.2432
angles (deg): 90.00 90.00 90.00
Closest atoms and distances in Å follow each position.
Space group Pmm2 (No. 25)
Unique sites:
Be 0.0000 0.0000 0.0000 [1 per cell]  1 Cl 2.10, 4 Rh 2.35
Rh 0.5000 0.5000 0.0644 [1 per cell]  1 Cl 2.27, 4 Be 2.35
Cl 0.0000 0.0000 0.2903 [1 per cell]  1 Be 2.10
Cl 0.5000 0.5000 0.7507 [1 per cell]  1 Rh 2.27


Density functional theory data (PBE) for an optimized crystal structure of PmGdTm4.

## Properties
Crystal system: cubic
ΔE_f in meV/atom: 256

a b c (Å): 9.2696 9.2696 9.2696
angles (deg): 90.00 90.00 90.00
Closest atoms and distances in Å follow each position.
Space group F-43m (No. 216)
Unique sites:
Pm 0.0000 0.0000 0.0000 [4 per cell]  12 Tm 3.84, 4 Gd 4.01
Gd 0.2500 0.2500 0.7500 [4 per cell]  12 Tm 3.84, 4 Pm 4.01
Tm 0.1250 0.1250 0.3750 [16 per cell]  6 Tm 3.28


Density functional theory data (PBE) for an optimized crystal structure of MgCu5Pd6.

## Properties
Crystal system: monoclinic
ΔE_f in meV/atom: -256

a b c (Å): 4.3011 6.0798 6.7895
angles (deg): 90.00 108.20 90.00
Closest atoms and distances in Å follow each position.
Space group P2/m (No. 10)
Unique sites:
Mg 0.0000 0.0000 0.0000 [1 per cell]  8 Pd 2.65-2.67
Cu 0.0000 0.5000 0.0000 [1 per cell]  8 Pd 2.62-2.65
Cu 0.3330 0.0000 0.6655 [2 per cell]  8 Pd 2.61-2.65
Cu 0.3351 0.5000 0.6711 [2 per cell]  8 Pd 2.59-2.62
Pd 0.1693 0.2534 0.3382 [4 per cell]  7 Cu 2.61-2.65, 1 Mg 2.67
Pd 0.5000 0.2542 0.0000 [2 per cell]  6 Cu 2.59-2.65, 2 Mg 2.65


Density functional theory data (PBE) for an optimized crystal structure of ReAg2Os.

## Properties
Crystal system: orthorhombic
ΔE_f in meV/atom: 465

a b c (Å): 2.8644 4.6698 9.8004
angles (deg): 90.00 90.00 90.00
Closest atoms and distances in Å follow each position.
Space group Cmm2 (No. 35)
Unique sites:
Re 0.0000 0.0000 0.0000 [2 per cell]  2 Os 2.58, 6 Re 2.74-2.86
Ag 0.0000 0.0000 0.4800 [2 per cell]  8 Ag 2.74-2.91, 2 Os 2.94
Ag 0.0000 0.5000 0.7379 [2 per cell]  8 Ag 2.74-2.91, 2 Re 2.94
Os 0.0000 0.5000 0.2185 [2 per cell]  2 Re 2.58, 6 Os 2.74-2.86


Density functional theory data (PBE) for an optimized crystal structure of BaCo2Os.

## Properties
Crystal system: cubic
ΔE_f in meV/atom: 1330

a b c (Å): 6.5863 6.5863 6.5863
angles (deg): 90.00 90.00 90.00
Closest atoms and distances in Å follow each position.
Space group F-43m (No. 216)
Unique sites:
Ba 0.0000 0.0000 0.0000 [4 per cell]  4 Co 2.85, 4 Os 2.85
Co 0.0000 0.0000 0.5000 [4 per cell]  4 Co 2.85, 4 Os 2.85
Co 0.2500 0.2500 0.2500 [4 per cell]  4 Ba 2.85, 4 Co 2.85
Os 0.2500 0.2500 0.7500 [4 per cell]  4 Ba 2.85, 4 Co 2.85


Density functional theory data (PBE) for an optimized crystal structure of AcLa2PmNd5.

## Properties
Crystal system: orthorhombic
ΔE_f in meV/atom: 123

a b c (Å): 5.7619 24.7706 9.5414
angles (deg): 90.00 90.00 90.00
Closest atoms and distances in Å follow each position.
Space group Cmc2_1 (No. 36)
Unique sites:
Ac 0.0000 0.1017 0.0000 [4 per cell]  5 Nd 3.54-3.87
La 0.0000 0.3342 0.2607 [4 per cell]  6 Nd 3.51-3.88, 1 Pm 3.82
La 0.0000 0.3888 0.8317 [4 per cell]  9 Nd 3.53-3.82, 1 Pm 3.83
Pm 0.0000 0.2595 0.6109 [4 per cell]  4 Nd 3.18-3.43
Nd 0.0000 0.0218 0.3134 [4 per cell]  4 Nd 3.36-3.75, 2 Ac 3.54-3.59, 2 La 3.64
Nd 0.0000 0.1038 0.5944 [4 per cell]  5 Nd 3.36-3.75, 2 La 3.63
Nd 0.0000 0.1933 0.2954 [4 per cell]  3 Pm 3.43-3.57, 3 La 3.51-3.54, 4 Nd 3.56-3.61, 1 Ac 3.62
Nd 0.0000 0.2438 0.9421 [4 per cell]  3 Pm 3.18-3.30, 2 Nd 3.56, 1 Ac 3.56
Nd 0.0000 0.4928 0.0844 [4 per cell]  2 La 3.53-3.76, 6 Nd 3.69-3.89


Density functional theory data (PBE) for an optimized crystal structure of Sc2CdP.

## Properties
Crystal system: tetragonal
ΔE_f in meV/atom: -519

a b c (Å): 4.6151 4.6151 3.6462
angles (deg): 90.00 90.00 90.00
Closest atoms and distances in Å follow each position.
Space group P4/mmm (No. 123)
Unique sites:
Sc 0.0000 0.5000 0.0000 [2 per cell]  4 Cd 2.94, 4 P 2.94, 4 Sc 3.26
Cd 0.0000 0.0000 0.5000 [1 per cell]  8 Sc 2.94, 4 P 3.26
P 0.5000 0.5000 0.5000 [1 per cell]  8 Sc 2.94, 4 Cd 3.26


Density functional theory data (PBE) for an optimized crystal structure of TiSnAs2Se.

## Properties
Uncorrected formation energy in eV/f.u.: -0.430
Crystal system: tetragonal

a b c (Å): 4.9676 4.9676 4.9233
angles (deg): 90.00 90.00 90.00
Closest atoms and distances in Å follow each position.
Space group P4/mmm (No. 123)
Unique sites:
Ti 0.0000 0.0000 0.0000 [1 per cell]  2 Se 2.46, 4 As 2.48
Sn 0.5000 0.5000 0.5000 [1 per cell]  8 As 3.50, 4 Se 3.51
As 0.0000 0.5000 0.0000 [2 per cell]  2 Ti 2.48
Se 0.0000 0.0000 0.5000 [1 per cell]  2 Ti 2.46


| no. | N(E_F) (states/eV/atom) | ρ (Mg/m³) |
| --- | --- | --- |
| 1 | 1.11 | 3.97 |
| 2 | 2.16 | 8.16 |
| 3 | 0.27 | 9.65 |
| 4 | 0.91 | 15.00 |
| 5 | 1.23 | 10.36 |
| 6 | 1.30 | 6.69 |
| 7 | 0.88 | 4.99 |
| 8 | 0.65 | 5.40 |